# PbSIO2 PBE-GGA optimized geometry
data_PbSIO2
_symmetry_space_group_name_H-M 'P 4/m m m'
_symmetry_Int_Tables_number 123
_symmetry_space_group_name_Hall '-P 4 2'
_cell_length_a 4.149
_cell_length_b 4.149
_cell_length_c 6.814
_cell_angle_alpha 90.00
_cell_angle_beta 90.00
_cell_angle_gamma 90.00
loop_
_atom_site_label
_atom_site_fract_x
_atom_site_fract_y
_atom_site_fract_z
Pb1 0.000 0.000 0.000
S1 0.500 0.500 0.500
I1 0.000 0.000 0.500
O1 0.000 0.500 0.000
# E_form (uncorrected) ... 3.70 kcal/mol of atoms

=====

# SrCaHfO4 PBE-GGA optimized geometry
data_SrCaHfO4
_symmetry_space_group_name_H-M 'I 4 m m'
_symmetry_Int_Tables_number 107
_symmetry_space_group_name_Hall 'I 4 -2'
_cell_length_a 4.098
_cell_length_b 4.098
_cell_length_c 12.490
_cell_angle_alpha 90.00
_cell_angle_beta 90.00
_cell_angle_gamma 90.00
loop_
_atom_site_label
_atom_site_fract_x
_atom_site_fract_y
_atom_site_fract_z
Sr1 0.000 0.000 0.000
Ca1 0.000 0.000 0.297
Hf1 0.000 0.000 0.649
O1 0.000 0.000 0.477
O2 0.000 0.000 0.813
O3 0.000 0.500 0.149
# E_form (uncorrected) ... -72.88 kcal/mol of atoms

=====

# Ce2PrSmBi4 PBE-GGA optimized geometry
data_Ce2PrSmBi4
_symmetry_space_group_name_H-M 'P 1 2/m 1'
_symmetry_Int_Tables_number 10
_cell_length_a 7.969
_cell_length_b 4.600
_cell_length_c 7.970
_cell_angle_alpha 90.00
_cell_angle_beta 109.46
_cell_angle_gamma 90.00
loop_
_symmetry_equiv_pos_as_xyz
'x,y,z'
'-x,-y,-z'
'-x,y,-z'
'x,-y,z'
loop_
_atom_site_label
_atom_site_fract_x
_atom_site_fract_y
_atom_site_fract_z
Ce1 0.000 0.000 0.000
Ce2 0.000 0.500 0.500
Pr1 0.500 0.000 0.500
Sm1 0.500 0.500 0.000
Bi1 0.247 0.500 0.247
Bi2 0.249 0.000 0.752
# Energy of formation from the pure elements ... -0.870 eV/atom

=====

# Ca2Ir PBE-GGA optimized geometry
data_Ca2Ir
_symmetry_space_group_name_H-M 'I 41/a m d'
_symmetry_Int_Tables_number 141
_cell_length_a 3.431
_cell_length_b 3.431
_cell_length_c 28.357
_cell_angle_alpha 90.00
_cell_angle_beta 90.00
_cell_angle_gamma 90.00
loop_
_symmetry_equiv_pos_as_xyz
'x,y,z'
'-x,-y,-z'
'-y+1/4,x+3/4,z+1/4'
'y+1/4,-x+3/4,-z+1/4'
'-x+1/2,-y,z+1/2'
'x+1/2,y,-z+1/2'
'y+1/4,-x+1/4,z+3/4'
'-y+1/4,x+1/4,-z+3/4'
'x,-y,-z'
'-x,y,z'
'-y+1/4,-x+1/4,-z+3/4'
'y+1/4,x+1/4,z+3/4'
'-x+1/2,y,-z+1/2'
'x+1/2,-y,z+1/2'
'y+1/4,x+3/4,-z+1/4'
'-y+1/4,-x+3/4,z+1/4'
'x+1/2,y+1/2,z+1/2'
'-x+1/2,-y+1/2,-z+1/2'
'-y+3/4,x+1/4,z+3/4'
'y+3/4,-x+1/4,-z+3/4'
'-x,-y+1/2,z'
'x,y+1/2,-z'
'y+3/4,-x+3/4,z+1/4'
'-y+3/4,x+3/4,-z+1/4'
'x+1/2,-y+1/2,-z+1/2'
'-x+1/2,y+1/2,z+1/2'
'-y+3/4,-x+3/4,-z+1/4'
'y+3/4,x+3/4,z+1/4'
'-x,y+1/2,-z'
'x,-y+1/2,z'
'y+3/4,x+1/4,-z+3/4'
'-y+3/4,-x+1/4,z+3/4'
loop_
_atom_site_label
_atom_site_fract_x
_atom_site_fract_y
_atom_site_fract_z
Ca1 0.000 0.250 0.316
Ir1 0.000 0.250 0.875
# Energy of formation from the pure elements ... -0.221 eV/atom

=====

| no. | total moment (μB/atom) | electronic total energy (eV/atom) |
| --- | --- | --- |
| 1 | 0.072 | -3.700 |
| 2 | 0.000 | -7.942 |
| 3 | 0.208 | -5.481 |
| 4 | 0.000 | -4.509 |